Record 1
DFT (PBE) results for an optimized crystal structure of Fe2NiIr.

The structure in POSCAR format:
```
Fe2NiIr
1.0
-6.3048 0.1257 -5.7266
-5.2101 -2.1805 -6.3766
-6.9783 -2.0647 -4.4273
Fe Ir Ni
2 1 1
direct
0.0034 0.0034 0.0034
0.4966 0.4966 0.4966
0.2500 0.2500 0.2500
0.7500 0.7500 0.7500
```

Summary:
VASP energy, eV/atom: -7.838
Symmetry: R-3m, No. 166
Crystal system: trigonal


Record 2
DFT (PBE) results for an optimized crystal structure of Zr2CdHg.

The structure in POSCAR format:
```
Zr2CdHg
1.0
3.5253 0.0000 0.0000
0.0000 3.5253 0.0000
0.0000 0.0000 7.0326
Hg Zr Cd
1 2 1
direct
0.5000 0.5000 0.0000
0.0000 0.0000 0.7511
0.0000 0.0000 0.2489
0.5000 0.5000 0.5000
```

Summary:
Offset from the most stable computed form, eV/atom: 0.040
Symmetry: P4/mmm, No. 123
Crystal system: tetragonal


Record 3
DFT (PBE) results for an optimized crystal structure of AgAu2.

The structure in POSCAR format:
```
AgAu2
1.0
-1.6745 3.7967 -2.1474
1.3231 -3.7115 -2.5109
-2.6511 -1.0672 0.1805
Au Ag
2 1
direct
0.3333 0.6667 0.3458
0.6667 0.3333 0.6542
0.0000 0.0000 0.0000
```

Summary:
Offset from the most stable computed form, eV/atom: 0.030
Symmetry: P-3m1, No. 164
Crystal system: trigonal


Record 4
DFT (PBE) results for an optimized crystal structure of Pm6Nd3Dy2.

The structure in POSCAR format:
```
Pm6Nd3Dy2
1.0
4.8357 0.0000 0.0000
0.0000 4.8357 0.0000
-2.4179 -2.4179 16.8468
Pm Nd Dy
6 3 2
direct
0.1194 0.6194 0.2387
0.6194 0.1194 0.2387
0.8806 0.3806 0.7613
0.3806 0.8806 0.7613
0.6966 0.6966 0.3932
0.3034 0.3034 0.6068
0.0000 0.0000 0.0000
0.7991 0.7991 0.5981
0.2009 0.2009 0.4019
0.4546 0.4546 0.9092
0.5454 0.5454 0.0908
```

Summary:
Offset from the most stable computed form, eV/atom: 0.000
Symmetry: I4/mmm, No. 139
Crystal system: tetragonal


Record 5
DFT (PBE) results for an optimized crystal structure of TiMnVN.

The structure in POSCAR format:
```
TiMnVN
1.0
-2.6878 0.3711 0.5723
0.1178 -2.1266 1.9321
2.6898 7.3162 7.8889
Ti Mn V N
2 2 2 2
direct
0.5000 0.0000 0.3058
0.5000 0.5000 0.8058
0.0000 0.0000 0.9540
0.0000 0.5000 0.4540
0.5000 0.0000 0.5907
0.5000 0.5000 0.0907
0.0000 0.0000 0.1466
0.0000 0.5000 0.6466
```

Summary:
Offset from the most stable computed form, eV/atom: 0.334
Symmetry: Amm2, No. 38
Crystal system: orthorhombic


Record 6
DFT (PBE) results for an optimized crystal structure of CsTiSe3.

The structure in POSCAR format:
```
CsTiSe3
1.0
-2.2112 3.8038 2.0335
-4.6758 -2.2166 -6.7148
-3.7425 -5.7142 6.6195
Cs Ti Se
2 2 6
direct
0.6174 0.2349 0.3526
0.3826 0.7651 0.6474
0.8342 0.6683 0.1081
0.1658 0.3317 0.8919
0.8472 0.6944 0.3528
0.3225 0.6449 0.0066
0.0103 0.0206 0.8790
0.1528 0.3056 0.6472
0.9897 0.9794 0.1210
0.6775 0.3551 0.9934
```

Summary:
Offset from the most stable computed form, eV/atom: 0.013
Symmetry: C2/m, No. 12
Crystal system: monoclinic


Record 7
DFT (PBE) results for an optimized crystal structure of Tb12Sm3Mg.

The structure in POSCAR format:
```
Tb12Sm3Mg
1.0
-0.6878 -4.2234 -2.6356
1.1257 -2.7237 4.0708
-19.4438 -0.1332 5.2877
Tb Sm Mg
12 3 1
direct
0.5000 0.5000 0.0000
0.5000 0.5000 0.2449
0.5000 0.5000 0.5000
0.5000 0.5000 0.7551
0.5000 0.0000 0.1221
0.5000 0.0000 0.3736
0.5000 0.0000 0.6264
0.5000 0.0000 0.8779
0.0000 0.5000 0.1221
0.0000 0.5000 0.3736
0.0000 0.5000 0.6264
0.0000 0.5000 0.8779
0.0000 0.0000 0.2476
0.0000 0.0000 0.5000
0.0000 0.0000 0.7524
0.0000 0.0000 0.0000
```

Summary:
VASP energy, eV/atom: -4.438
Symmetry: P4/mmm, No. 123
Crystal system: tetragonal


Record 8
DFT (PBE) results for an optimized crystal structure of SiP2PbO.

The structure in POSCAR format:
```
SiP2PbO
1.0
-2.3656 -1.7795 4.0880
-3.9912 -1.2173 -2.8395
1.3164 -3.0234 -0.5543
Pb P Si O
1 2 1 1
direct
0.5000 0.5000 0.5000
0.0000 0.5000 0.0000
0.5000 0.0000 0.0000
0.0000 0.0000 0.0000
0.0000 0.0000 0.5000
```

Summary:
Offset from the most stable computed form, eV/atom: 0.000
Symmetry: P4/mmm, No. 123
Crystal system: tetragonal